(1)
Below is crystalline ScMnCr2 at its relaxed geometry, with properties calculated at the PBE level.

CIF file:
```
data_ScMnCr2
_chemical_formula_sum 'Sc1 Mn1 Cr2'
_cell_length_a 4.020
_cell_length_b 2.725
_cell_length_c 5.125
_cell_angle_alpha 77.28
_cell_angle_beta 90.00
_cell_angle_gamma 90.00
_space_group_name_H-M_alt 'P 1'
_space_group_IT_number 1
loop_
_space_group_symop_operation_xyz
'x,y,z'
loop_
_atom_site_label
_atom_site_type_symbol
_atom_site_fract_x
_atom_site_fract_y
_atom_site_fract_z
Cr1 Cr 0.000 0.997 0.048
Cr2 Cr 0.000 0.503 0.452
Sc1 Sc 0.500 0.750 0.750
Mn1 Mn 0.500 0.250 0.250
```

Properties
symmetry = P2/m (10)

***

(2)
Below is crystalline ScMnCr2 at its relaxed geometry, with properties calculated at the PBE level.

CIF file:
```
data_ScMnCr2
_chemical_formula_sum 'Sc1 Mn1 Cr2'
_cell_length_a 4.861
_cell_length_b 4.937
_cell_length_c 2.612
_cell_angle_alpha 80.59
_cell_angle_beta 78.16
_cell_angle_gamma 115.98
_space_group_name_H-M_alt 'P 1'
_space_group_IT_number 1
loop_
_space_group_symop_operation_xyz
'x,y,z'
loop_
_atom_site_label
_atom_site_type_symbol
_atom_site_fract_x
_atom_site_fract_y
_atom_site_fract_z
Cr1 Cr 0.000 0.000 0.000
Cr2 Cr 0.500 0.000 0.500
Sc1 Sc 0.500 0.500 0.000
Mn1 Mn 0.000 0.500 0.500
```

Properties
symmetry = C2/m (12)

***

(3)
Below is crystalline ScMnCr2 at its relaxed geometry, with properties calculated at the PBE level.

CIF file:
```
data_ScMnCr2
_chemical_formula_sum 'Sc1 Mn1 Cr2'
_cell_length_a 5.035
_cell_length_b 5.035
_cell_length_c 2.549
_cell_angle_alpha 90.00
_cell_angle_beta 90.00
_cell_angle_gamma 122.79
_space_group_name_H-M_alt 'P 1'
_space_group_IT_number 1
loop_
_space_group_symop_operation_xyz
'x,y,z'
loop_
_atom_site_label
_atom_site_type_symbol
_atom_site_fract_x
_atom_site_fract_y
_atom_site_fract_z
Cr1 Cr 0.000 0.000 0.000
Cr2 Cr 0.500 0.500 0.000
Mn1 Mn 0.500 0.000 0.500
Sc1 Sc 0.000 0.500 0.500
```

Properties
symmetry = Cmmm (65)

***

(4)
Below is crystalline ScMnCr2 at its relaxed geometry, with properties calculated at the PBE level.

CIF file:
```
data_ScMnCr2
_chemical_formula_sum 'Sc1 Mn1 Cr2'
_cell_length_a 2.958
_cell_length_b 2.959
_cell_length_c 6.433
_cell_angle_alpha 90.00
_cell_angle_beta 90.00
_cell_angle_gamma 90.00
_space_group_name_H-M_alt 'P 1'
_space_group_IT_number 1
loop_
_space_group_symop_operation_xyz
'x,y,z'
loop_
_atom_site_label
_atom_site_type_symbol
_atom_site_fract_x
_atom_site_fract_y
_atom_site_fract_z
Mn1 Mn 0.000 0.000 0.463
Sc1 Sc 0.500 0.500 0.747
Cr1 Cr 0.500 0.500 0.248
Cr2 Cr 0.000 0.000 0.042
```

Properties
symmetry = P4mm (99)

***

(5)
Below is crystalline ScMnCr2 at its relaxed geometry, with properties calculated at the PBE level.

CIF file:
```
data_ScMnCr2
_chemical_formula_sum 'Sc1 Mn1 Cr2'
_cell_length_a 3.044
_cell_length_b 4.273
_cell_length_c 4.382
_cell_angle_alpha 90.00
_cell_angle_beta 90.00
_cell_angle_gamma 90.00
_space_group_name_H-M_alt 'P 1'
_space_group_IT_number 1
loop_
_space_group_symop_operation_xyz
'x,y,z'
loop_
_atom_site_label
_atom_site_type_symbol
_atom_site_fract_x
_atom_site_fract_y
_atom_site_fract_z
Cr1 Cr 0.000 0.000 0.000
Cr2 Cr 0.500 0.500 0.000
Mn1 Mn 0.500 0.000 0.500
Sc1 Sc 0.000 0.500 0.500
```

Properties
symmetry = Pmmm (47)

***

(6)
Below is crystalline ScMnCr2 at its relaxed geometry, with properties calculated at the PBE level.

CIF file:
```
data_ScMnCr2
_chemical_formula_sum 'Sc1 Mn1 Cr2'
_cell_length_a 8.488
_cell_length_b 8.488
_cell_length_c 8.488
_cell_angle_alpha 19.12
_cell_angle_beta 19.12
_cell_angle_gamma 19.12
_space_group_name_H-M_alt 'P 1'
_space_group_IT_number 1
loop_
_space_group_symop_operation_xyz
'x,y,z'
loop_
_atom_site_label
_atom_site_type_symbol
_atom_site_fract_x
_atom_site_fract_y
_atom_site_fract_z
Cr1 Cr 0.989 0.989 0.989
Cr2 Cr 0.511 0.511 0.511
Mn1 Mn 0.250 0.250 0.250
Sc1 Sc 0.750 0.750 0.750
```

Properties
symmetry = R-3m (166)

***

(7)
Below is crystalline ScMnCr2 at its relaxed geometry, with properties calculated at the PBE level.

CIF file:
```
data_ScMnCr2
_chemical_formula_sum 'Sc1 Mn1 Cr2'
_cell_length_a 4.897
_cell_length_b 4.897
_cell_length_c 4.394
_cell_angle_alpha 63.37
_cell_angle_beta 63.37
_cell_angle_gamma 35.23
_space_group_name_H-M_alt 'P 1'
_space_group_IT_number 1
loop_
_space_group_symop_operation_xyz
'x,y,z'
loop_
_atom_site_label
_atom_site_type_symbol
_atom_site_fract_x
_atom_site_fract_y
_atom_site_fract_z
Mn1 Mn 0.481 0.481 0.519
Cr1 Cr 0.750 0.750 0.750
Cr2 Cr 0.021 0.021 0.979
Sc1 Sc 0.248 0.248 0.252
```

Properties
symmetry = Imm2 (44)

***

(8)
Below is crystalline ScMn2Cr2 at its relaxed geometry, with properties calculated at the PBE level.

CIF file:
```
data_ScMn2Cr2
_chemical_formula_sum 'Sc2 Mn4 Cr4'
_cell_length_a 7.185
_cell_length_b 7.185
_cell_length_c 2.761
_cell_angle_alpha 90.00
_cell_angle_beta 90.00
_cell_angle_gamma 90.00
_space_group_name_H-M_alt 'P 1'
_space_group_IT_number 1
loop_
_space_group_symop_operation_xyz
'x,y,z'
loop_
_atom_site_label
_atom_site_type_symbol
_atom_site_fract_x
_atom_site_fract_y
_atom_site_fract_z
Cr1 Cr 0.649 0.851 0.500
Cr2 Cr 0.351 0.149 0.500
Cr3 Cr 0.851 0.351 0.500
Cr4 Cr 0.149 0.649 0.500
Mn1 Mn 0.858 0.642 0.000
Mn2 Mn 0.358 0.858 0.000
Mn3 Mn 0.142 0.358 0.000
Mn4 Mn 0.642 0.142 0.000
Sc1 Sc 0.000 0.000 0.000
Sc2 Sc 0.500 0.500 0.000
```

Properties
relative energy among the computed polymorphs = 2.107 kcal/mol of atoms
symmetry = P4/mbm (127)

***

| no. | DFT formation energy (eV/atom) |
| --- | --- |
| 1 | 0.29 |
| 2 | 0.34 |
| 3 | 0.47 |
| 4 | 0.14 |
| 5 | 0.23 |
| 6 | 0.48 |
| 7 | 0.26 |
| 8 | 0.18 |